Record 1
Compound: OsRh2Cl
Source: the Alexandria database
Functional: PBE
Structure: relaxed

Computed properties:
Offset from the most stable computed form, meV/atom: 903
SG: P4/mmm, No. 123
Total moment, μB/atom: 0.00

abc: 3.9810 3.8735 3.8735
angles: 90.00 90.00 90.00
Fractional coordinates of all 4 atoms:
Cl  0.5000  0.5000  0.0000
Os  0.5000  0.0000  0.5000
Rh  0.0000  0.0000  0.0000
Rh  0.0000  0.5000  0.5000

Record 2
Compound: Sr2Si2Os
Source: the Alexandria database
Functional: PBE
Structure: relaxed

Computed properties:
SG: P4/mbm, No. 127
Total moment, μB/atom: 0.00

abc: 6.6648 6.6648 4.9279
angles: 90.00 90.00 90.00
Fractional coordinates of all 10 atoms:
Sr  0.1818  0.6818  0.5000
Sr  0.6818  0.8182  0.5000
Sr  0.8182  0.3182  0.5000
Sr  0.3182  0.1818  0.5000
Si  0.3652  0.8652  0.0000
Si  0.8652  0.6348  0.0000
Si  0.6348  0.1348  0.0000
Si  0.1348  0.3652  0.0000
Os  0.0000  0.0000  0.0000
Os  0.5000  0.5000  0.0000

Record 3
Compound: BaTbIr2O8
Source: the Alexandria database
Functional: PBE
Structure: relaxed

Computed properties:
SG: P-3, No. 147
Total moment, μB/atom: 0.08

abc: 5.9487 5.9487 7.6786
angles: 90.00 90.00 120.00
Fractional coordinates of all 12 atoms:
Ba  0.0000  0.0000  0.0000
Tb  0.0000  0.0000  0.5000
Ir  0.6667  0.3333  0.2288
Ir  0.3333  0.6667  0.7712
O  0.3333  0.6667  0.0090
O  0.3230  0.1596  0.3018
O  0.8404  0.1634  0.3018
O  0.6667  0.3333  0.9910
O  0.1596  0.8366  0.6982
O  0.6770  0.8404  0.6982
O  0.1634  0.3230  0.6982
O  0.8366  0.6770  0.3018

Record 4
Compound: Pa2S2N
Source: the Alexandria database
Functional: PBE
Structure: relaxed

Computed properties:
SG: Ibam, No. 72
Total moment, μB/atom: 0.23

abc: 5.5030 6.5238 6.8776
angles: 118.31 113.58 90.00
Fractional coordinates of all 10 atoms:
Pa  0.3965  0.6191  0.7930
Pa  0.6035  0.3809  0.2070
Pa  0.1035  0.8260  0.2070
Pa  0.8965  0.1740  0.7930
S  0.8556  0.7007  0.7111
S  0.1444  0.2993  0.2889
S  0.6444  0.9896  0.2889
S  0.3556  0.0104  0.7111
N  0.7500  0.5000  0.0000
N  0.2500  0.5000  0.0000

Record 5
Compound: Cu2Ni2Pd
Source: the Alexandria database
Functional: PBE
Structure: relaxed

Computed properties:
Offset from the most stable computed form, meV/atom: 4
SG: P4/mbm, No. 127
ΔH_f (0 K), kJ/mol of atoms: 13.9
Total moment, μB/atom: 0.01

abc: 6.8714 6.8714 2.6448
angles: 90.00 90.00 90.00
Fractional coordinates of all 10 atoms:
Ni  0.1703  0.6703  0.5000
Ni  0.6703  0.8297  0.5000
Ni  0.8297  0.3297  0.5000
Ni  0.3297  0.1703  0.5000
Cu  0.3733  0.8733  0.0000
Cu  0.8733  0.6267  0.0000
Cu  0.6267  0.1267  0.0000
Cu  0.1267  0.3733  0.0000
Pd  0.0000  0.0000  0.0000
Pd  0.5000  0.5000  0.0000

Record 6
Compound: AcHoThIn
Source: the Alexandria database
Functional: PBE
Structure: relaxed

Computed properties:
SG: F-43m, No. 216
ΔH_f (0 K), kJ/mol of atoms: 2.9
Total moment, μB/atom: 0.00

abc: 5.6313 5.6313 5.6313
angles: 60.00 60.00 60.00
Fractional coordinates of all 4 atoms:
Ac  0.7500  0.7500  0.7500
Ho  0.5000  0.5000  0.5000
Th  0.0000  0.0000  0.0000
In  0.2500  0.2500  0.2500

Record 7
Compound: Ta4Mo
Source: the Alexandria database
Functional: PBE
Structure: relaxed

Computed properties:
Offset from the most stable computed form, meV/atom: 14
SG: I4/mmm, No. 139
ΔH_f (0 K), kJ/mol of atoms: -7.6
Total moment, μB/atom: 0.00

abc: 8.5990 8.5990 8.5990
angles: 158.09 158.09 31.17
Fractional coordinates of all 5 atoms:
Mo  0.0000  0.0000  0.0000
Ta  0.4044  0.4044  0.0000
Ta  0.8003  0.8003  0.0000
Ta  0.1997  0.1997  0.0000
Ta  0.5956  0.5956  0.0000

Record 8
Compound: Na2LiAl2
Source: the Alexandria database
Functional: PBE
Structure: relaxed

Computed properties:
Offset from the most stable computed form, meV/atom: 67
SG: I4/mmm, No. 139
ΔH_f (0 K), kJ/mol of atoms: 28.5
Total moment, μB/atom: 0.00

abc: 4.1225 4.1225 7.9272
angles: 74.93 74.93 90.00
Fractional coordinates of all 5 atoms:
Na  0.7500  0.2500  0.5000
Na  0.2500  0.7500  0.5000
Al  0.4138  0.4138  0.1723
Al  0.5862  0.5862  0.8277
Li  0.0000  0.0000  0.0000

Record 9
Compound: Y2IrI
Source: the Alexandria database
Functional: PBE
Structure: relaxed

Computed properties:
Offset from the most stable computed form, meV/atom: 572
SG: Fm-3m, No. 225
Total moment, μB/atom: 0.00

abc: 5.1676 5.1676 5.1676
angles: 60.00 60.00 60.00
Fractional coordinates of all 4 atoms:
I  0.0000  0.0000  0.0000
Y  0.2500  0.2500  0.2500
Y  0.7500  0.7500  0.7500
Ir  0.5000  0.5000  0.5000

Record 10
Compound: Y2ZnOsW
Source: the Alexandria database
Functional: PBE
Structure: relaxed

Computed properties:
SG: P4/mmm, No. 123
ΔH_f (0 K), kJ/mol of atoms: 121.7
Total moment, μB/atom: 0.58

abc: 5.1578 4.5227 5.1578
angles: 90.00 90.00 90.00
Fractional coordinates of all 5 atoms:
Y  0.0000  0.0000  0.5000
Y  0.5000  0.0000  0.0000
Zn  0.0000  0.0000  0.0000
Os  0.0000  0.5000  0.0000
W  0.5000  0.5000  0.5000

Record 11
Compound: LiBe2Cd
Source: the Alexandria database
Functional: PBE
Structure: relaxed

Computed properties:
SG: P4/mmm, No. 123
ΔH_f (0 K), kJ/mol of atoms: 28.8
Total moment, μB/atom: 0.00

abc: 2.9445 2.9458 5.8167
angles: 90.00 90.00 90.00
Fractional coordinates of all 4 atoms:
Be  0.0000  0.0000  0.9570
Be  0.0000  0.0000  0.5430
Cd  0.5000  0.5000  0.2500
Li  0.5000  0.5000  0.7500

Record 12
Compound: In5Se4
Source: the Alexandria database
Functional: PBE
Structure: relaxed

Computed properties:
Offset from the most stable computed form, meV/atom: 8
SG: I4/mmm, No. 139
Total moment, μB/atom: 0.00

abc: 9.2210 9.2210 9.2210
angles: 92.61 92.61 155.38
Fractional coordinates of all 9 atoms:
In  0.0000  0.0000  0.0000
In  0.3209  0.6791  0.0000
In  0.6791  0.3209  0.0000
In  0.6791  0.6791  0.3582
In  0.3209  0.3209  0.6418
Se  0.2097  0.0000  0.2097
Se  0.7903  0.0000  0.7903
Se  0.0000  0.7903  0.7903
Se  0.0000  0.2097  0.2097

Record 13
Compound: Gd3Pd
Source: the Alexandria database
Functional: PBE
Structure: relaxed

Computed properties:
SG: Imm2, No. 44
ΔH_f (0 K), kJ/mol of atoms: -37.2
Total moment, μB/atom: 1.84

abc: 3.7049 5.4048 6.3893
angles: 115.02 106.85 90.00
Fractional coordinates of all 4 atoms:
Gd  0.2941  0.7111  0.5883
Gd  0.5000  0.4169  0.0000
Gd  0.7059  0.1228  0.4117
Pd  0.0000  0.9159  0.0000

Record 14
Compound: BeFe2Se
Source: the Alexandria database
Functional: PBE
Structure: relaxed

Computed properties:
SG: P4/mmm, No. 123
Total moment, μB/atom: 1.02

abc: 2.9854 2.9904 6.1496
angles: 60.89 90.00 90.00
Fractional coordinates of all 4 atoms:
Be  0.5000  0.7500  0.7500
Fe  0.0000  0.0316  0.9688
Fe  0.0000  0.4684  0.5312
Se  0.5000  0.2500  0.2500

Record 15
Compound: RbB2Cl
Source: the Alexandria database
Functional: PBE
Structure: relaxed

Computed properties:
Offset from the most stable computed form, meV/atom: 0
SG: I4_1/amd, No. 141
Total moment, μB/atom: 0.00

abc: 3.8766 3.8766 11.9001
angles: 80.63 80.63 90.00
Fractional coordinates of all 8 atoms:
B  0.3750  0.1250  0.2500
B  0.3750  0.6250  0.2500
B  0.3750  0.6250  0.7500
B  0.8750  0.6250  0.7500
Rb  0.0000  0.0000  0.0000
Rb  0.7500  0.2500  0.5000
Cl  0.5000  0.5000  0.0000
Cl  0.2500  0.7500  0.5000

Record 16
Compound: LiTmCoSn
Source: the Alexandria database
Functional: PBE
Structure: relaxed

Computed properties:
SG: F-43m, No. 216
ΔH_f (0 K), kJ/mol of atoms: -37.9
Total moment, μB/atom: 0.16

abc: 4.5950 4.5950 4.5950
angles: 60.00 60.00 60.00
Fractional coordinates of all 4 atoms:
Tm  0.0000  0.0000  0.0000
Co  0.7500  0.7500  0.7500
Sn  0.5000  0.5000  0.5000
Li  0.2500  0.2500  0.2500

Record 17
Compound: Ca2CrPb
Source: the Alexandria database
Functional: PBE
Structure: relaxed

Computed properties:
SG: Cmmm, No. 65
ΔH_f (0 K), kJ/mol of atoms: 3.0
Total moment, μB/atom: 1.18

abc: 5.3971 5.3971 3.8800
angles: 90.00 90.00 90.09
Fractional coordinates of all 4 atoms:
Pb  0.0000  0.5000  0.5000
Cr  0.5000  0.0000  0.5000
Ca  0.0000  0.0000  0.0000
Ca  0.5000  0.5000  0.0000

Record 18
Compound: VTcB4
Source: the Alexandria database
Functional: PBE
Structure: relaxed

Computed properties:
Offset from the most stable computed form, meV/atom: 0
SG: Immm, No. 71
ΔH_f (0 K), kJ/mol of atoms: -36.8
Total moment, μB/atom: 0.02

abc: 3.0005 4.3862 4.3862
angles: 72.65 70.00 70.00
Fractional coordinates of all 6 atoms:
V  0.5000  0.5000  0.5000
Tc  0.0000  0.0000  0.0000
B  0.7558  0.5769  0.9115
B  0.7558  0.9115  0.5769
B  0.2442  0.4231  0.0885
B  0.2442  0.0885  0.4231

Record 19
Compound: ReB3F
Source: the Alexandria database
Functional: PBE
Structure: relaxed

Computed properties:
Offset from the most stable computed form, meV/atom: 0
SG: Pm-3m, No. 221
Total moment, μB/atom: 0.00

abc: 4.1252 4.1252 4.1252
angles: 90.00 90.00 90.00
Fractional coordinates of all 5 atoms:
Re  0.0000  0.0000  0.0000
B  0.0000  0.5000  0.0000
B  0.0000  0.0000  0.5000
B  0.5000  0.0000  0.0000
F  0.5000  0.5000  0.5000

Record 20
Compound: ZrPaMoPd
Source: the Alexandria database
Functional: PBE
Structure: relaxed

Computed properties:
SG: F-43m, No. 216
ΔH_f (0 K), kJ/mol of atoms: -22.6
Total moment, μB/atom: 0.00

abc: 4.8282 4.8282 4.8282
angles: 60.00 60.00 60.00
Fractional coordinates of all 4 atoms:
Mo  0.5000  0.5000  0.5000
Pa  0.2500  0.2500  0.2500
Zr  0.7500  0.7500  0.7500
Pd  0.0000  0.0000  0.0000

no.,E_tot (eV/atom)
1,-5.7596
2,-5.2116
3,-6.6957
4,-8.7777
5,-4.8456
6,-4.6811
7,-11.7275
8,-2.1116
9,-6.2078
10,-6.4154
11,-2.2719
12,-3.3283
13,-12.2448
14,-5.8420
15,-3.2141
16,-4.7668
17,-4.3022
18,-8.0803
19,-5.7813
20,-8.7515